Below is a relaxed structure of Cd3Te2Cl2, with properties calculated at the PBE-GGA level.

Summary:
Space-group type = I2_13 (199)
Total DFT energy (no corrections) = -34.6 eV for the cell shown

Lattice parameters (Å, degrees): 8.2543 8.2543 8.2543 109.47 109.47 109.47
Closest atoms and distances in Å follow each position.
Atoms (fractional coordinates):
Cd 0.1492 0.8992 0.2500  2 Te 2.76, 2 Cl 2.81
Cd 0.2500 0.1492 0.8992  2 Te 2.76, 2 Cl 2.81
Cd 0.3508 0.6008 0.7500  2 Te 2.76, 2 Cl 2.81
Cd 0.6008 0.7500 0.3508  2 Te 2.76, 2 Cl 2.81
Cd 0.7500 0.3508 0.6008  2 Te 2.76, 2 Cl 2.81
Cd 0.8992 0.2500 0.1492  2 Te 2.76, 2 Cl 2.81
Te 0.0000 0.5584 0.5000  3 Cd 2.76
Te 0.5000 0.0000 0.5584  3 Cd 2.76
Te 0.5584 0.5000 0.0000  3 Cd 2.76
Te 0.9416 0.9416 0.9416  3 Cd 2.76
Cl 0.0000 0.0198 0.5000  3 Cd 2.81
Cl 0.0198 0.5000 0.0000  3 Cd 2.81
Cl 0.4802 0.4802 0.4802  3 Cd 2.81
Cl 0.5000 0.0000 0.0198  3 Cd 2.81